Entry 1:
Crystalline Li5Ti3O12 at its relaxed geometry, computed with PBE.

Unit cell a=11.6759 b=11.6759 c=11.6759 alpha=90.00 beta=90.00 gamma=90.00
Space group Ia-3d (No. 230)
Unique sites:
Li1 0.0000 0.0000 0.0000 x16
Li2 0.0000 0.2500 0.3750 x24
Ti1 0.0000 0.2500 0.1250 x24
O1 0.0215 0.0857 0.6655 x96

Properties
N(E_F) (states/eV/cell): 89.4
Crystal system: cubic
DFT total energy (eV/cell): -1012.915

***

Entry 2:
Crystalline LiTi2O4 at its relaxed geometry, computed with PBE.

Unit cell a=2.9539 b=5.0985 c=9.7765 alpha=90.00 beta=90.00 gamma=90.00
Space group Pmc2_1 (No. 26)
Unique sites:
Li1 0.0000 0.1873 0.0000 x2
Ti1 0.0000 0.2343 0.6742 x2
Ti2 0.5000 0.2718 0.3916 x2
O1 0.0000 0.0347 0.3219 x2
O2 0.0000 0.4447 0.4994 x2
O3 0.5000 0.0385 0.5706 x2
O4 0.5000 0.4510 0.7569 x2

Properties
N(E_F) (states/eV/cell): 5.9
Crystal system: orthorhombic
Polymorph energy (0 for the lowest one) (meV/atom): 40
DFT total energy (eV/cell): -114.342

***

Entry 3:
Crystalline Li3Ti4O8 at its relaxed geometry, computed with PBE.

Unit cell a=5.0940 b=9.6583 c=5.7198 alpha=90.00 beta=90.50 gamma=90.00
Space group P2_1 (No. 4)
Unique sites:
Li1 0.0678 0.0000 0.1185 x2
Li2 0.0735 0.2751 0.6195 x2
Li3 0.4149 0.5011 0.1260 x2
Ti1 0.1095 0.2606 0.1324 x2
Ti2 0.1182 0.0087 0.6210 x2
Ti3 0.4085 0.7703 0.1342 x2
Ti4 0.4136 0.5185 0.6291 x2
O1 0.0504 0.6304 0.6258 x2
O2 0.0635 0.6473 0.1236 x2
O3 0.2284 0.3992 0.3775 x2
O4 0.2346 0.8836 0.8818 x2
O5 0.2543 0.8925 0.3737 x2
O6 0.2549 0.3868 0.8799 x2
O7 0.4288 0.1382 0.1269 x2
O8 0.4311 0.1335 0.6428 x2

Properties
N(E_F) (states/eV/cell): 9.9
Crystal system: monoclinic
Polymorph energy (0 for the lowest one) (meV/atom): 21
DFT total energy (eV/cell): -233.920

***

Entry 4:
Crystalline Li8TiO6 at its relaxed geometry, computed with PBE.

Unit cell a=5.6040 b=5.6040 c=10.9079 alpha=90.00 beta=90.00 gamma=120.00
Space group P6_3cm (No. 185)
Unique sites:
Li1 0.0000 0.3136 0.0000 x6
Li2 0.0000 0.3997 0.3594 x6
Li3 0.3333 0.6667 0.1383 x4
Ti1 0.0000 0.0000 0.2288 x2
O1 0.0000 0.0000 0.3994 x2
O2 0.0000 0.3121 0.1814 x6
O3 0.3333 0.6667 0.4479 x4

Properties
N(E_F) (states/eV/cell): 0.0
Crystal system: hexagonal
DFT total energy (eV/cell): -170.797

***

Entry 5:
Crystalline Li3Ti4O8 at its relaxed geometry, computed with PBE.

Unit cell a=8.1636 b=8.3769 c=5.8289 alpha=90.00 beta=134.26 gamma=90.00
Space group C2/m (No. 12)
Unique sites:
Li1 0.0000 0.0000 0.0000 x2
Li2 0.2500 0.2500 0.0000 x4
Ti1 0.0000 0.0000 0.5000 x2
Ti2 0.0000 0.5000 0.0000 x2
Ti3 0.2500 0.2500 0.5000 x4
O1 0.0000 0.2426 0.5000 x4
O2 0.0000 0.2520 0.0000 x4
O3 0.2441 0.0000 0.9617 x4
O4 0.2498 0.0000 0.4997 x4

Properties
N(E_F) (states/eV/cell): 8.1
Crystal system: monoclinic
Polymorph energy (0 for the lowest one) (meV/atom): 1
DFT total energy (eV/cell): -234.514

***

Entry 6:
Crystalline Li4Ti3O8 at its relaxed geometry, computed with PBE.

Unit cell a=10.1706 b=5.9582 c=6.0407 alpha=90.00 beta=126.16 gamma=90.00
Space group C2/m (No. 12)
Unique sites:
Li1 0.0000 0.0000 0.0000 x2
Li2 0.0000 0.5000 0.5000 x2
Li3 0.2500 0.2500 0.0000 x4
Ti1 0.0000 0.0000 0.5000 x2
Ti2 0.2500 0.2500 0.5000 x4
O1 0.0134 0.2304 0.2855 x8
O2 0.2436 0.0000 0.7248 x4
O3 0.2497 0.0000 0.2822 x4

Properties
N(E_F) (states/eV/cell): 0.0
Crystal system: monoclinic
Polymorph energy (0 for the lowest one) (meV/atom): 0
DFT total energy (eV/cell): -221.625

***

Entry 7:
Crystalline LiTi4O6 at its relaxed geometry, computed with PBE.

Unit cell a=5.1649 b=2.9133 c=8.0609 alpha=90.00 beta=108.67 gamma=90.00
Space group Pm (No. 6)
Unique sites:
Li1 0.0000 0.0000 0.0000 x1
Ti1 0.2337 0.0000 0.4036 x1
Ti2 0.4900 0.0000 0.7481 x1
Ti3 0.5469 0.5000 0.0855 x1
Ti4 0.8078 0.5000 0.4331 x1
O1 0.2255 0.5000 0.5918 x1
O2 0.3192 0.0000 0.9386 x1
O3 0.3566 0.5000 0.2619 x1
O4 0.6642 0.0000 0.5610 x1
O5 0.7405 0.5000 0.9031 x1
O6 0.8184 0.0000 0.2390 x1

Properties
N(E_F) (states/eV/cell): 3.5
Crystal system: monoclinic
Polymorph energy (0 for the lowest one) (meV/atom): 0
DFT total energy (eV/cell): -92.487

***

Entry 8:
Crystalline Li3Ti8O16 at its relaxed geometry, computed with PBE.

Unit cell a=5.9803 b=5.9803 c=8.4651 alpha=90.00 beta=90.00 gamma=90.00
Space group P-4m2 (No. 115)
Unique sites:
Li1 0.0000 0.0000 0.0000 x1
Li2 0.0000 0.5000 0.2530 x2
Ti1 0.0000 0.2535 0.6236 x4
Ti2 0.2511 0.5000 0.8719 x4
O1 0.0000 0.2240 0.3883 x4
O2 0.0000 0.2744 0.8631 x4
O3 0.2189 0.5000 0.6421 x4
O4 0.2754 0.5000 0.1116 x4

Properties
N(E_F) (states/eV/cell): 9.0
Crystal system: tetragonal
DFT total energy (eV/cell): -225.629

***

Entry 9:
Crystalline LiTi11O20 at its relaxed geometry, computed with PBE.

Unit cell a=7.2428 b=7.6935 c=13.2382 alpha=90.51 beta=92.75 gamma=104.07
Space group P-1 (No. 2)
Unique sites:
Li1 0.1053 0.0389 0.2233 x2
Ti1 0.1430 0.3724 0.7125 x2
Ti2 0.1648 0.5661 0.0724 x2
Ti3 0.1758 0.4236 0.4849 x2
Ti4 0.1781 0.9156 0.9925 x2
Ti5 0.1786 0.0591 0.5728 x2
Ti6 0.1906 0.2869 0.9198 x2
Ti7 0.1989 0.7946 0.4141 x2
Ti8 0.4656 0.5651 0.2915 x2
Ti9 0.4861 0.0731 0.7989 x2
Ti10 0.4915 0.7950 0.6308 x2
Ti11 0.4970 0.7032 0.8722 x2
O1 0.0017 0.1219 0.6705 x2
O2 0.0033 0.8264 0.5258 x2
O3 0.0043 0.3208 0.0302 x2
O4 0.0084 0.3949 0.8277 x2
O5 0.0102 0.5458 0.3973 x2
O6 0.0165 0.0482 0.9057 x2
O7 0.3144 0.3231 0.5960 x2
O8 0.3201 0.6715 0.5218 x2
O9 0.3250 0.5387 0.9534 x2
O10 0.3265 0.8218 0.0978 x2
O11 0.3278 0.1757 0.0240 x2
O12 0.3288 0.0445 0.4508 x2
O13 0.3349 0.9626 0.6640 x2
O14 0.3363 0.2624 0.7985 x2
O15 0.3362 0.3820 0.3795 x2
O16 0.3366 0.8873 0.8807 x2
O17 0.3404 0.4594 0.1654 x2
O18 0.3488 0.7630 0.3051 x2
O19 0.3548 0.5986 0.7318 x2
O20 0.3799 0.1147 0.2340 x2

Properties
N(E_F) (states/eV/cell): 27.7
Crystal system: triclinic
DFT total energy (eV/cell): -563.732

***

Entry 10:
Crystalline LiTi4O6 at its relaxed geometry, computed with PBE.

Unit cell a=5.2263 b=2.9076 c=7.6867 alpha=90.00 beta=102.98 gamma=90.00
Space group Pm (No. 6)
Unique sites:
Li1 0.0000 0.0000 0.0000 x1
Ti1 0.2949 0.5000 0.5710 x1
Ti2 0.4513 0.5000 0.9265 x1
Ti3 0.7121 0.0000 0.2571 x1
Ti4 0.8531 0.0000 0.6110 x1
O1 0.0734 0.0000 0.4195 x1
O2 0.0748 0.5000 0.7721 x1
O3 0.3661 0.0000 0.0822 x1
O4 0.5333 0.0000 0.7449 x1
O5 0.6235 0.5000 0.4386 x1
O6 0.8093 0.5000 0.0900 x1

Properties
N(E_F) (states/eV/cell): 4.5
Crystal system: monoclinic
Polymorph energy (0 for the lowest one) (meV/atom): 14
DFT total energy (eV/cell): -92.337

***

Entry 11:
Crystalline Li7Ti11O24 at its relaxed geometry, computed with PBE.

Unit cell a=19.8091 b=5.9727 c=8.4540 alpha=90.00 beta=115.24 gamma=90.00
Space group C2/m (No. 12)
Unique sites:
Li1 0.0000 0.0000 0.0000 x2
Li2 0.0817 0.0000 0.7051 x4
Li3 0.0837 0.5000 0.9633 x4
Li4 0.2482 0.5000 0.3731 x4
Ti1 0.0000 0.5000 0.5000 x2
Ti2 0.0815 0.2449 0.3262 x8
Ti3 0.1627 0.0000 0.1610 x4
Ti4 0.1664 0.5000 0.6662 x4
Ti5 0.2500 0.2500 0.0000 x4
O1 0.0085 0.5000 0.2694 x4
O2 0.0122 0.0000 0.2637 x4
O3 0.0833 0.2773 0.5716 x8
O4 0.0893 0.2326 0.1081 x8
O5 0.1580 0.5000 0.4250 x4
O6 0.1589 0.0000 0.3977 x4
O7 0.1742 0.0000 0.9375 x4
O8 0.1753 0.5000 0.9143 x4
O9 0.2493 0.2771 0.7627 x8

Properties
N(E_F) (states/eV/cell): 27.0
Crystal system: monoclinic
Polymorph energy (0 for the lowest one) (meV/atom): 0
DFT total energy (eV/cell): -676.023

***

Entry 12:
Crystalline LiTi2O2 at its relaxed geometry, computed with PBE.

Unit cell a=3.6995 b=3.6995 c=9.1550 alpha=90.00 beta=90.00 gamma=90.00
Space group I4/mmm (No. 139)
Unique sites:
Li1 0.0000 0.0000 0.0000 x2
Ti1 0.0000 0.0000 0.3455 x4
O1 0.0000 0.5000 0.2500 x4

Properties
N(E_F) (states/eV/cell): 8.4
Crystal system: tetragonal
Polymorph energy (0 for the lowest one) (meV/atom): 0
DFT total energy (eV/cell): -72.685

***

- What is the N(E_F) in the second record?
  5.9 states/eV/cell